This record from Alexandria via LeMat-Bulk describes AcSi2PdPt4 after structural relaxation. The functional is PBE.

Values from the calculation:
space-group type: P4/mmm
magnetization: 0.00 μB per atom
formation energy (no corrections): -0.651 eV per atom
DFT total energy: -6.19 eV/atom

abc: 4.0290 4.0290 9.6443
angles: 90.00 90.00 90.00
Last column: nearest neighbours and their distance in Å.
Positions (direct):
Ac  0.0000  0.0000  0.0000  8 Pt 3.16
Si  0.5000  0.5000  0.3813  1 Si 2.29, 4 Pt 2.37
Si  0.5000  0.5000  0.6187  1 Si 2.29, 4 Pt 2.37
Pd  0.0000  0.0000  0.5000  8 Si 3.07, 8 Pt 3.12
Pt  0.0000  0.5000  0.2527  2 Si 2.37
Pt  0.0000  0.5000  0.7473  2 Si 2.37
Pt  0.5000  0.0000  0.2527  2 Si 2.37
Pt  0.5000  0.0000  0.7473  2 Si 2.37